(1)
The following is a PBE calculation of MgSc2GaPd4 after structural relaxation, from the Open Quantum Materials Database.

Total energy (eV/atom): -5.60
Symmetry: P4/mmm
Theoretical density (Mg/m³): 7.54

Structure (POSCAR):
```
MgSc2GaPd4
1.0
-1.6019 -4.0981 1.1934
2.7436 -0.0122 3.6410
-4.6333 2.8306 3.5007
Sc Ga Pd Mg
2 1 4 1
Cartesian
0.5708 -2.0551 2.4172 Sc
-2.3166 1.4153 1.7504 Sc
0.0000 0.0000 0.0000 Ga
0.2373 0.6870 2.6777 Pd
-2.1269 2.1314 4.4640 Pd
-1.9355 -1.3559 1.4539 Pd
-4.2997 0.0884 3.2402 Pd
-1.7458 -0.6398 4.1676 Mg
```

=====

(2)
The following is a PBE calculation of Sm3Mg3Ga2Pd after structural relaxation, from the Open Quantum Materials Database.

Total energy (eV/atom): -3.90
Symmetry: P-62m
Theoretical density (Mg/m³): 6.10

Structure (POSCAR):
```
Sm3Mg3Ga2Pd
1.0
7.4688 0.0000 0.0000
-3.7344 6.4681 0.0000
0.0000 0.0000 4.3349
Ga Mg Pd Sm
2 3 1 3
Cartesian
3.7344 2.1560 0.0000 Ga
0.0000 4.3121 0.0000 Ga
-2.8419 4.9223 0.0000 Mg
5.6838 0.0000 0.0000 Mg
0.8925 1.5458 0.0000 Mg
0.0000 0.0000 2.1675 Pd
3.0863 0.0000 2.1675 Sm
2.1912 3.7953 2.1675 Sm
-1.5432 2.6728 2.1675 Sm
```

=====

(3)
The following is a PBE calculation of Sm3Mg3GaPd2 after structural relaxation, from the Open Quantum Materials Database.

Total energy (eV/atom): -4.15
Symmetry: P-62m
Theoretical density (Mg/m³): 6.48

Structure (POSCAR):
```
Sm3Mg3GaPd2
1.0
7.4682 0.0000 0.0000
-3.7341 6.4676 0.0000
0.0000 0.0000 4.2800
Pd Sm Mg Ga
2 3 3 1
Cartesian
0.0000 4.3117 0.0000 Pd
3.7341 2.1559 0.0000 Pd
3.1015 0.0000 2.1400 Sm
-1.5508 2.6860 2.1400 Sm
2.1833 3.7816 2.1400 Sm
5.6325 0.0000 0.0000 Mg
0.9178 1.5897 0.0000 Mg
-2.8163 4.8779 0.0000 Mg
0.0000 0.0000 2.1400 Ga
```

=====

(4)
The following is a PBE calculation of TmMgGa2Pd4 after structural relaxation, from the Open Quantum Materials Database.

Total energy (eV/atom): -4.87
Symmetry: P4/mmm
Theoretical density (Mg/m³): 9.49

Structure (POSCAR):
```
TmMgGa2Pd4
1.0
-1.6557 -1.6625 -3.8941
-3.0288 -2.4568 2.3367
-4.1784 4.8654 -0.3006
Ga Pd Tm Mg
2 4 1 1
Cartesian
-2.0892 2.4327 -0.1503 Ga
-2.3422 -2.0597 -0.7787 Ga
-4.0261 2.8927 -2.1771 Pd
-1.8081 0.3101 -2.0176 Pd
-4.7126 2.4956 0.9383 Pd
-2.4946 -0.0870 1.0978 Pd
-4.4314 0.3730 -0.9290 Tm
0.0000 0.0000 0.0000 Mg
```

=====

(5)
The following is a PBE calculation of Tm3Mg3Ga2Pd after structural relaxation, from the Open Quantum Materials Database.

Total energy (eV/atom): -3.82
Symmetry: P-62m
Theoretical density (Mg/m³): 7.04

Structure (POSCAR):
```
Tm3Mg3Ga2Pd
1.0
7.2773 0.0000 0.0000
-3.6386 6.3023 0.0000
0.0000 0.0000 4.2470
Mg Tm Ga Pd
3 3 2 1
Cartesian
0.8839 1.5309 2.1235 Mg
5.5095 0.0000 2.1235 Mg
-2.7548 4.7714 2.1235 Mg
2.1312 3.6913 0.0000 Tm
-1.5075 2.6110 0.0000 Tm
3.0149 0.0000 0.0000 Tm
3.6386 2.1008 2.1235 Ga
0.0000 4.2015 2.1235 Ga
0.0000 0.0000 0.0000 Pd
```

=====

(6)
The following is a PBE calculation of YMgGaPd after structural relaxation, from the Open Quantum Materials Database.

Symmetry: F-43m
Distance to the lowest polymorph of the same formula (eV per atom): 0.119
Theoretical density (Mg/m³): 6.31

Structure (POSCAR):
```
YMgGaPd
1.0
-4.2588 -0.8887 1.9225
-3.3902 3.3350 -0.0847
-3.8056 -0.5480 -2.7999
Y Pd Ga Mg
1 1 1 1
Cartesian
0.0000 0.0000 0.0000 Y
-2.8636 0.4746 -0.2405 Pd
-5.7273 0.9491 -0.4811 Ga
-8.5910 1.4237 -0.7216 Mg
```

=====

(7)
The following is a PBE calculation of Y3Mg3Ga2Pd after structural relaxation, from the Open Quantum Materials Database.

Total energy (eV/atom): -4.51
Symmetry: P-62m
Theoretical density (Mg/m³): 4.84

Structure (POSCAR):
```
Y3Mg3Ga2Pd
1.0
-5.9028 -2.9996 3.2343
6.5959 -0.4138 3.2595
-0.7661 3.6836 2.0180
Pd Mg Ga Y
1 3 2 3
Cartesian
0.0000 0.0000 0.0000 Pd
0.1428 -0.7478 5.9355 Mg
1.2089 1.7419 1.7957 Mg
-1.8077 1.1179 1.7896 Mg
-2.1196 -0.2959 4.2517 Ga
2.0466 0.5661 4.2601 Ga
3.8753 -0.2431 1.9151 Y
-3.4681 -1.7624 1.9003 Y
0.2859 -1.4079 2.6784 Y
```

=====

(8)
The following is a PBE calculation of YMgGaPd after structural relaxation, from the Open Quantum Materials Database.

Symmetry: F-43m
Distance to the lowest polymorph of the same formula (eV per atom): 0.118
Theoretical density (Mg/m³): 6.35

Structure (POSCAR):
```
YMgGaPd
1.0
1.4179 -4.5298 0.0687
1.2946 -2.0200 4.0961
-2.7534 -3.3191 1.9841
Y Mg Ga Pd
1 1 1 1
Cartesian
0.0000 0.0000 0.0000 Y
-0.0307 -7.4017 4.6116 Mg
-0.0102 -2.4672 1.5372 Ga
-0.0205 -4.9344 3.0744 Pd
```

=====

(9)
The following is a PBE calculation of Y3Mg3GaPd2 after structural relaxation, from the Open Quantum Materials Database.

Total energy (eV/atom): -4.75
Symmetry: P-62m
Theoretical density (Mg/m³): 5.15

Structure (POSCAR):
```
Y3Mg3GaPd2
1.0
-1.9877 6.3432 3.4478
-3.6377 -2.2115 -6.1604
-2.6752 -2.1083 2.3365
Y Mg Ga Pd
3 3 1 2
Cartesian
-2.5006 2.6573 3.1856 Y
-3.6715 0.6601 0.0428 Y
-3.4660 -2.3481 -2.4362 Y
-0.4961 1.5833 0.8606 Mg
-4.2213 3.1005 -2.0356 Mg
-0.9080 -0.5520 -1.5376 Mg
-1.3376 -1.0541 1.1683 Ga
-3.0877 0.6401 -2.9577 Pd
-2.5377 3.4916 0.2450 Pd
```

=====

(10)
The following is a PBE calculation of YMgGaPd after structural relaxation, from the Open Quantum Materials Database.

Symmetry: F-43m
Distance to the lowest polymorph of the same formula (eV per atom): 0.000
Theoretical density (Mg/m³): 6.06

Structure (POSCAR):
```
YMgGaPd
1.0
4.3337 -2.0222 0.6260
0.4499 -4.8018 -0.0458
2.2002 -2.1808 -3.6966
Y Mg Pd Ga
1 1 1 1
Cartesian
1.7459 -2.2512 -0.7791 Y
5.2378 -6.7536 -2.3373 Mg
3.4919 -4.5024 -1.5582 Pd
0.0000 0.0000 0.0000 Ga
```

=====

(11)
The following is a PBE calculation of YMgGa2Pd4 after structural relaxation, from the Open Quantum Materials Database.

Total energy (eV/atom): -5.09
Symmetry: P4/mmm
Theoretical density (Mg/m³): 8.35

Structure (POSCAR):
```
YMgGa2Pd4
1.0
4.5665 0.0000 0.0000
0.0000 4.5665 0.0000
0.0000 0.0000 6.4698
Pd Ga Mg Y
4 2 1 1
Cartesian
2.2832 0.0000 4.9812 Pd
2.2832 0.0000 1.4887 Pd
0.0000 2.2832 1.4887 Pd
0.0000 2.2832 4.9812 Pd
2.2832 2.2832 0.0000 Ga
0.0000 0.0000 3.2349 Ga
0.0000 0.0000 0.0000 Mg
2.2832 2.2832 3.2349 Y
```

=====

(12)
The following is a PBE calculation of MgZn2GaPd4 after structural relaxation, from the Open Quantum Materials Database.

Total energy (eV/atom): -4.11
Symmetry: P4/mmm
Theoretical density (Mg/m³): 9.04

Structure (POSCAR):
```
MgZn2GaPd4
1.0
4.3819 0.0000 0.0000
0.0000 4.3819 0.0000
0.0000 0.0000 6.2226
Zn Pd Ga Mg
2 4 1 1
Cartesian
2.1910 2.1910 3.1113 Zn
0.0000 0.0000 0.0000 Zn
0.0000 2.1910 4.6183 Pd
2.1910 0.0000 1.6042 Pd
0.0000 2.1910 1.6042 Pd
2.1910 0.0000 4.6183 Pd
0.0000 0.0000 3.1113 Ga
2.1910 2.1910 0.0000 Mg
```